# Cr2WO

Cr2WO after structural relaxation (PBE with a Hubbard U, Alexandria).

a b c (Å): 6.101 6.101 7.910
angles (deg): 90.00 90.00 90.00
Element x y z (fractional)
Cr (0.115, 0.250, 0.125)
Cr (0.250, 0.615, 0.375)
Cr (0.250, 0.885, 0.875)
Cr (0.385, 0.250, 0.625)
Cr (0.615, 0.750, 0.625)
Cr (0.750, 0.115, 0.875)
Cr (0.750, 0.385, 0.375)
Cr (0.885, 0.750, 0.125)
W (0.000, 0.000, 0.500)
W (0.000, 0.500, 0.750)
W (0.500, 0.000, 0.250)
W (0.500, 0.500, 0.000)
O (0.000, 0.000, 0.000)
O (0.000, 0.500, 0.250)
O (0.500, 0.000, 0.750)
O (0.500, 0.500, 0.500)

Computed properties:
For the total energy, the calculation gives -6.57 eV/atom.